4
Lattice="-3.146 -2.375 -0.930 1.242 -2.715 2.737 -5.936 4.905 7.557" Properties=species:S:1:pos:R:3 comment="K2CaAg | Alexandria | PBE-GGA | optimized geometry" e_above_lowest_polymorph_mev_per_atom=157.7 formation_energy_ev_per_atom=0.14 pbc="T T T"
K -2.604 2.152 3.315
K -0.364 0.301 0.463
Ca -5.404 1.134 6.571
Ag -2.436 -1.319 2.793



4
Lattice="-3.288 -3.276 -0.509 -1.213 -2.675 3.631 -4.177 0.551 2.014" Properties=species:S:1:pos:R:3 comment="Cd2OsF | Alexandria | PBE-GGA | optimized geometry" e_above_lowest_polymorph_mev_per_atom=101.5 formation_energy_uncorrected_ev_per_atom=0.33 pbc="T T T"
Cd -2.170 -1.350 1.284
Os -4.339 -2.700 2.568
Cd -6.509 -4.051 3.852
F 0.000 0.000 0.000



4
Lattice="3.518 0.000 0.000 0.000 3.518 0.000 0.000 0.000 8.321" Properties=species:S:1:pos:R:3 comment="Y2TiIn | Alexandria | PBE-GGA | optimized geometry" formation_energy_ev_per_atom=-0.10 pbc="T T T"
In 1.759 1.759 4.160
Y 0.000 0.000 6.281
Y 0.000 0.000 2.040
Ti 1.759 1.759 0.000



4
Lattice="-1.756 2.529 -3.741 -3.861 -1.632 -2.428 -4.256 2.280 0.402" Properties=species:S:1:pos:R:3 comment="PmYBeCo | Alexandria | PBE-GGA | optimized geometry" formation_energy_ev_per_atom=0.05 pbc="T T T"
Co -4.937 1.588 -2.883
Pm -2.468 0.794 -1.442
Be 0.000 0.000 0.000
Y -7.405 2.383 -4.325



10
Lattice="-3.673 2.137 1.016 -2.556 -3.921 -0.996 1.892 -0.089 7.029" Properties=species:S:1:pos:R:3 comment="Tc2Ir2Rh | Alexandria | PBE-GGA | optimized geometry" e_above_lowest_polymorph_mev_per_atom=0.0 formation_energy_ev_per_atom=-0.20 pbc="T T T"
Ir -3.478 -0.106 1.741
Ir -1.091 -0.938 2.725
Rh -2.499 -2.473 0.865
Tc -2.999 -1.761 6.955
Tc -2.251 -3.306 3.514
Tc -1.338 -0.112 0.094
Ir -3.246 -0.935 4.324
Rh -1.839 0.600 6.184
Ir -0.860 -1.767 5.308
Tc -2.087 1.433 3.535



14
Lattice="7.811 0.000 0.000 3.906 6.861 0.065 3.906 2.152 6.515" Properties=species:S:1:pos:R:3 comment="CaNdGaS4 | Alexandria | PBE-GGA | optimized geometry" formation_energy_uncorrected_ev_per_atom=-1.48 pbc="T T T"
S 3.906 2.256 1.580
S 5.915 5.653 1.656
Ca 5.858 1.076 3.257
Ca 1.953 1.076 3.257
S 11.717 6.757 5.000
Ga 7.811 4.497 0.811
S 9.707 3.360 4.925
S 7.811 6.699 4.958
Ga 7.811 4.517 5.769
S 9.707 5.653 1.656
S 7.811 2.314 1.623
Nd 0.000 0.000 0.000
S 5.915 3.360 4.925
Nd 3.906 4.507 3.290



12
Lattice="8.012 -0.001 -0.002 -4.005 6.939 -0.002 -1.339 -2.318 7.538" Properties=species:S:1:pos:R:3 comment="Ac2TbY3Bi6 | Alexandria | PBE-GGA | optimized geometry" formation_energy_ev_per_atom=-0.91 pbc="T T T"
Bi 3.959 2.395 5.546
Bi 0.096 4.626 5.546
Ac 0.018 4.616 -0.002
Y 5.284 0.029 3.767
Y 1.334 2.310 3.767
Ac 3.989 2.323 -0.002
Tb 0.000 0.000 0.000
Bi -1.290 2.225 1.988
Bi 2.572 -0.006 1.988
Bi 2.724 4.716 2.015
Y -2.616 4.592 3.767
Bi -0.055 -0.096 5.519



11
Lattice="3.726 0.000 0.000 1.863 11.449 1.022 1.863 6.328 9.596" Properties=species:S:1:pos:R:3 comment="Pr7Dy2Tl2 | Alexandria | PBE-GGA | optimized geometry" formation_energy_ev_per_atom=-0.03 pbc="T T T"
Tl 5.589 13.995 7.126
Dy 1.863 10.025 3.407
Pr 3.726 2.309 2.661
Pr 3.726 7.033 3.182
Tl 1.863 4.868 1.675
Pr 5.589 10.019 8.757
Pr 1.863 5.317 5.949
Pr 3.726 11.641 5.935
Pr 3.726 6.561 9.207
Pr 3.726 14.340 9.846
Dy 3.726 8.361 6.193



3
Lattice="3.676 0.000 0.000 0.000 3.676 0.000 -1.838 -1.838 4.895" Properties=species:S:1:pos:R:3 comment="CeUAl | Alexandria | PBE-GGA | optimized geometry" e_above_lowest_polymorph_mev_per_atom=0.0 formation_energy_ev_per_atom=0.12 pbc="T T T"
U 1.838 1.838 1.783
Al 0.000 0.000 0.022
Ce 0.000 0.000 3.090



9
Lattice="4.659 0.000 0.000 0.000 8.442 0.297 -2.330 -3.069 7.750" Properties=species:S:1:pos:R:3 comment="K2PrZn2Te4 | Alexandria | PBE-GGA | optimized geometry" formation_energy_uncorrected_ev_per_atom=-0.87 pbc="T T T"
Zn 2.330 7.312 2.996
Te 0.000 -0.858 7.537
Te 2.330 5.127 4.793
Zn 0.000 -1.939 5.051
Te 0.000 0.245 3.254
K 2.330 1.439 5.872
Te 2.330 6.231 0.510
K 0.000 3.933 2.175
Pr 0.000 0.000 0.000



12
Lattice="6.759 0.000 0.000 3.380 5.853 0.000 3.380 1.951 9.373" Properties=species:S:1:pos:R:3 comment="BaMg2MnBr8 | Alexandria | PBE-GGA | optimized geometry" formation_energy_uncorrected_ev_per_atom=-1.37 pbc="T T T"
Br 7.963 2.157 7.792
Br 3.380 1.951 4.566
Br 10.139 5.853 4.807
Br 8.872 4.072 1.581
Br 5.850 1.987 1.581
Mg 3.380 1.951 2.064
Mn 0.000 0.000 0.000
Br 7.668 5.817 7.792
Br 4.646 3.732 7.792
Mg 10.139 5.853 7.309
Ba 6.759 3.902 4.686
Br 5.555 5.647 1.581



8
Lattice="7.177 -0.068 -0.104 -3.119 6.464 0.104 -3.120 -2.506 5.959" Properties=species:S:1:pos:R:3 comment="Rb2MnNbSe4 | Alexandria | PBE-GGA | optimized geometry" formation_energy_uncorrected_ev_per_atom=-0.81 pbc="T T T"
Se -2.430 3.667 4.697
Nb -3.120 1.979 3.032
Se 1.664 1.304 2.919
Mn 0.469 -0.298 4.444
Se 4.528 2.894 0.712
Se -1.886 -0.086 3.591
Rb 0.000 0.000 0.000
Rb 0.469 4.188 1.516



| no. | total energy (eV per atom) | magnetic moment (μB/atom) |
| --- | --- | --- |
| 1 | -1.619 | 0.000 |
| 2 | -3.406 | 0.534 |
| 3 | -5.992 | 0.000 |
| 4 | -5.465 | 0.000 |
| 5 | -9.361 | 0.000 |
| 6 | -5.233 | 0.000 |
| 7 | -5.534 | 0.000 |
| 8 | -4.338 | 0.000 |
| 9 | -6.870 | 0.912 |
| 10 | -3.322 | 0.000 |
| 11 | -3.671 | 0.417 |
| 12 | -5.196 | 0.499 |